Record 1
12
Lattice="-1.469 3.957 1.368 -3.625 -2.438 3.409 4.846 -0.279 5.926" Properties=species:S:1:pos:R:3 comment="AcZnAg2F8 (PBE, relaxed)" m_tot_mub_per_fu=1.04 raw_formation_energy_ev_per_fu=-28.23 pbc="T T T"
F 0.716 1.085 4.261
F 3.488 0.549 7.098
Ag -1.524 0.744 3.747
F -0.964 0.155 6.442
F 0.819 -1.665 7.513
Ac 2.423 -0.140 2.963
F -3.737 0.691 3.605
F -1.804 -1.456 4.230
Zn 0.000 0.000 0.000
F -1.067 2.905 3.190
Ag 1.276 0.496 6.956
F 1.556 2.696 6.473

Record 2
4
Lattice="-3.971 0.496 -0.630 -0.682 -0.401 3.973 0.754 7.120 0.849" Properties=species:S:1:pos:R:3 comment="LaPbCl2 (PBE, relaxed)" m_tot_mub_per_fu=0.00 e_above_lowest_polymorph_ev_per_atom=0.1007 raw_formation_energy_ev_per_fu=-5.02 pbc="T T T"
La 0.310 2.923 0.348
Cl -2.084 2.332 1.944
Pb -1.772 5.278 2.295
Cl 0.026 0.242 0.029

Record 3
4
Lattice="-2.428 -3.312 -6.000 2.003 -5.388 -4.452 -1.601 2.992 6.431" Properties=species:S:1:pos:R:3 comment="FeSb2Os (PBE, relaxed)" m_tot_mub_per_fu=2.88 e_above_lowest_polymorph_ev_per_atom=0.1266 raw_formation_energy_ev_per_fu=1.64 pbc="T T T"
Sb -2.125 -2.407 -2.484
Fe -0.242 -4.945 -5.940
Os 0.127 -2.709 -0.826
Sb -0.425 -8.698 -10.450

Record 4
5
Lattice="4.264 0.000 1.912 1.487 4.514 2.396 0.176 -0.004 5.320" Properties=species:S:1:pos:R:3 comment="Ce2Ru2Pt (PBE, relaxed)" m_tot_mub_per_fu=0.00 delta_e_f_ev_per_fu=-2.85 e_above_lowest_polymorph_ev_per_atom=0.0000 pbc="T T T"
Ce 4.546 3.208 6.995
Ru 3.287 3.369 4.093
Ce 1.381 1.303 2.632
Ru 2.640 1.141 5.535
Pt 0.000 0.000 0.000

Record 5
4
Lattice="-0.580 -2.946 2.981 1.297 -1.874 -1.600 6.008 -0.520 0.654" Properties=species:S:1:pos:R:3 comment="Cr2InPt (PBE, relaxed)" m_tot_mub_per_fu=0.00 delta_e_f_ev_per_fu=0.82 pbc="T T T"
In 1.536 -2.072 1.254
Cr 5.695 -0.610 0.504
Cr 3.965 -1.107 -0.323
Pt 5.189 -3.269 0.781

Record 6
5
Lattice="5.184 0.000 0.000 0.000 5.184 0.000 0.000 0.000 5.184" Properties=species:S:1:pos:R:3 comment="ScGa3Au (PBE, relaxed)" m_tot_mub_per_fu=0.00 delta_e_f_ev_per_fu=3.50 e_above_lowest_polymorph_ev_per_atom=1.0724 pbc="T T T"
Au 2.592 2.592 2.592
Ga 2.592 0.000 0.000
Ga 0.000 0.000 2.592
Ga 0.000 2.592 0.000
Sc 0.000 0.000 0.000

Record 7
6
Lattice="3.622 0.000 0.000 0.000 3.622 0.000 0.000 0.000 12.772" Properties=species:S:1:pos:R:3 comment="TbHo3Cd2 (PBE, relaxed)" m_tot_mub_per_fu=0.00 delta_e_f_ev_per_fu=-1.17 pbc="T T T"
Ho 0.000 0.000 0.000
Ho 0.000 0.000 3.925
Ho 0.000 0.000 8.847
Cd 1.811 1.811 1.942
Tb 1.811 1.811 6.386
Cd 1.811 1.811 10.831

Record 8
8
Lattice="-1.394 2.669 -0.046 -3.779 -1.967 0.375 0.605 0.462 8.512" Properties=species:S:1:pos:R:3 comment="V4ReRu3 (PBE, relaxed)" m_tot_mub_per_fu=0.00 delta_e_f_ev_per_fu=-2.16 pbc="T T T"
V -1.742 -0.871 2.261
V -1.432 -0.634 6.627
V 0.000 0.000 0.000
Ru -0.541 1.454 2.168
Re -2.586 0.351 0.165
Ru -0.248 1.678 6.298
Ru -2.284 0.583 4.421
V 0.303 0.231 4.256

Record 9
3
Lattice="3.332 0.000 0.000 0.000 3.332 0.000 -1.666 -1.666 6.125" Properties=species:S:1:pos:R:3 comment="CeLuBe (PBE, relaxed)" m_tot_mub_per_fu=0.64 delta_e_f_ev_per_fu=0.43 pbc="T T T"
Lu 0.000 0.000 3.705
Ce 0.000 0.000 0.317
Be 1.666 1.666 2.104

Record 10
10
Lattice="-7.380 0.834 -4.184 -7.350 -1.838 3.908 -5.424 6.546 2.181" Properties=species:S:1:pos:R:3 comment="NaPmTl2I6 (PBE, relaxed)" m_tot_mub_per_fu=0.00 raw_formation_energy_ev_per_fu=-10.76 pbc="T T T"
Tl -10.034 2.202 0.763
I -8.251 4.262 3.043
I -12.506 4.154 2.406
I -12.889 1.482 -1.266
Pm -4.925 -0.138 -0.027
Na -15.010 2.736 0.960
I -9.959 0.078 3.640
I -7.017 1.873 -1.128
I -9.886 5.402 -0.773
Tl -5.391 6.097 2.033

Record 11
12
Lattice="-0.932 6.998 -3.184 0.544 -6.623 -3.977 -8.027 -1.025 2.657" Properties=species:S:1:pos:R:3 comment="Cs3Ce2CuSe6 (PBE, relaxed)" m_tot_mub_per_fu=0.24 raw_formation_energy_ev_per_fu=-15.16 pbc="T T T"
Se -6.435 -3.114 -3.417
Se -1.421 -2.689 -1.387
Cu 0.000 0.000 0.000
Cs -4.725 4.451 -1.974
Cs -3.690 -5.101 -2.530
Ce -0.438 2.439 -3.449
Ce 0.050 -2.065 -3.711
Se -6.933 -0.781 0.508
Se -1.980 2.464 -1.087
Cs -4.207 -0.325 -2.252
Se -1.482 0.131 -5.012
Se -6.993 2.038 -3.117

Record 12
5
Lattice="4.866 0.000 0.000 0.000 4.866 0.000 0.000 0.000 4.822" Properties=species:S:1:pos:R:3 comment="ScVP2S (PBE, relaxed)" m_tot_mub_per_fu=2.97 e_above_lowest_polymorph_ev_per_atom=0.6919 raw_formation_energy_ev_per_fu=2.21 pbc="T T T"
V 2.433 2.433 2.411
Sc 0.000 0.000 0.000
S 0.000 0.000 2.411
P 2.433 0.000 0.000
P 0.000 2.433 0.000